First-principles (PBE+U) data for a geometry-optimized ZnCoNF2 structure, as listed in Alexandria.

Properties
- calculated volume (Å³/f.u.) = 62.2
- total DFT energy (no corrections) (eV/cell) = -19.58
- space-group type = P4/mmm, No. 123
- total magnetization (μB/cell) = 2.197

a = 3.8569 Å, b = 3.8569 Å, c = 4.1811 Å
α = 90.00°, β = 90.00°, γ = 90.00°
Last column: nearest neighbours and their distance in Å.
Fractional coordinates of all 5 atoms:
Zn 0.0000 0.0000 0.0000  4 F 1.93, 2 N 2.09
Co 0.5000 0.5000 0.5000  4 N 2.73, 8 F 2.84
N 0.0000 0.0000 0.5000  2 Zn 2.09
F 0.0000 0.5000 0.0000  2 Zn 1.93
F 0.5000 0.0000 0.0000  2 Zn 1.93